1.
# CsRbS2 (GGA-PBE, relaxed)
data_CsRbS2
_symmetry_space_group_name_H-M 'P 1'
_symmetry_Int_Tables_number 1
_cell_length_a 4.990
_cell_length_b 4.990
_cell_length_c 23.449
_cell_angle_alpha 90.00
_cell_angle_beta 90.00
_cell_angle_gamma 90.00
loop_
_symmetry_equiv_pos_as_xyz
'x,y,z'
loop_
_atom_site_label
_atom_site_fract_x
_atom_site_fract_y
_atom_site_fract_z
_atom_site_occupancy
Cs1 0.649 0.200 0.364 1
Cs2 0.800 0.649 0.614 1
Cs3 0.200 0.351 0.114 1
Cs4 0.351 0.800 0.864 1
Rb1 0.824 0.349 0.984 1
Rb2 0.651 0.824 0.234 1
Rb3 0.349 0.176 0.734 1
Rb4 0.176 0.651 0.484 1
S1 0.344 0.150 0.585 1
S2 0.850 0.344 0.835 1
S3 0.150 0.656 0.335 1
S4 0.656 0.850 0.085 1
S5 0.593 0.151 0.511 1
S6 0.849 0.593 0.761 1
S7 0.151 0.407 0.261 1
S8 0.407 0.849 0.011 1
# magnetic moment	0.000	μB per atom
# E_form (uncorrected)	-879	meV/atom
# excess energy over the best structure of this formula in the dataset	0.0	meV per atom
# space-group type	P4_1



2.
# TiHgBr2 (GGA-PBE, relaxed)
data_TiHgBr2
_symmetry_space_group_name_H-M 'P 1'
_symmetry_Int_Tables_number 1
_cell_length_a 8.165
_cell_length_b 8.165
_cell_length_c 7.343
_cell_angle_alpha 56.22
_cell_angle_beta 56.22
_cell_angle_gamma 90.00
loop_
_symmetry_equiv_pos_as_xyz
'x,y,z'
loop_
_atom_site_label
_atom_site_fract_x
_atom_site_fract_y
_atom_site_fract_z
_atom_site_occupancy
Hg1 0.000 0.000 0.000 1
Hg2 0.750 0.250 0.500 1
Br1 0.505 0.125 0.250 1
Br2 0.245 0.625 0.250 1
Br3 0.375 0.495 0.750 1
Br4 0.875 0.755 0.750 1
Ti1 0.500 0.500 0.000 1
Ti2 0.250 0.750 0.500 1
# magnetic moment	0.500	μB per atom
# E_form (uncorrected)	-554	meV/atom
# excess energy over the best structure of this formula in the dataset	207.2	meV per atom
# space-group type	I-42d



3.
# HoTm3Zn (GGA-PBE, relaxed)
data_HoTm3Zn
_symmetry_space_group_name_H-M 'P 1'
_symmetry_Int_Tables_number 1
_cell_length_a 7.017
_cell_length_b 7.017
_cell_length_c 7.640
_cell_angle_alpha 100.52
_cell_angle_beta 117.75
_cell_angle_gamma 107.11
loop_
_symmetry_equiv_pos_as_xyz
'x,y,z'
loop_
_atom_site_label
_atom_site_fract_x
_atom_site_fract_y
_atom_site_fract_z
_atom_site_occupancy
Ho1 0.691 0.082 0.773 1
Ho2 0.309 0.918 0.227 1
Tm1 0.823 0.986 0.213 1
Tm2 0.227 0.390 0.213 1
Tm3 0.773 0.610 0.787 1
Tm4 0.738 0.451 0.189 1
Tm5 0.177 0.014 0.787 1
Tm6 0.262 0.549 0.811 1
Zn1 0.669 0.767 0.436 1
Zn2 0.331 0.233 0.564 1
# magnetic moment	0.000	μB per atom
# calculated formation energy	0.060	eV per atom
# space-group type	C2/m



4.
# CaSi12Ni6 (GGA-PBE, relaxed)
data_CaSi12Ni6
_symmetry_space_group_name_H-M 'P 1'
_symmetry_Int_Tables_number 1
_cell_length_a 6.714
_cell_length_b 6.714
_cell_length_c 6.714
_cell_angle_alpha 104.87
_cell_angle_beta 104.87
_cell_angle_gamma 104.87
loop_
_symmetry_equiv_pos_as_xyz
'x,y,z'
loop_
_atom_site_label
_atom_site_fract_x
_atom_site_fract_y
_atom_site_fract_z
_atom_site_occupancy
Ca1 0.000 0.000 0.000 1
Si1 0.887 0.113 0.500 1
Si2 0.866 0.606 0.606 1
Si3 0.606 0.606 0.866 1
Si4 0.394 0.134 0.394 1
Si5 0.394 0.394 0.134 1
Si6 0.134 0.394 0.394 1
Si7 0.113 0.500 0.887 1
Si8 0.500 0.887 0.113 1
Si9 0.113 0.887 0.500 1
Si10 0.887 0.500 0.113 1
Si11 0.500 0.113 0.887 1
Si12 0.606 0.866 0.606 1
Ni1 0.712 0.287 0.287 1
Ni2 0.287 0.287 0.712 1
Ni3 0.287 0.712 0.287 1
Ni4 0.713 0.713 0.288 1
Ni5 0.288 0.713 0.713 1
Ni6 0.713 0.288 0.713 1
# magnetic moment	0.000	μB per atom
# E_form (uncorrected)	-189	meV/atom
# space-group type	R-3m



5.
# Pu2GeH3 (GGA-PBE, relaxed)
data_Pu2GeH3
_symmetry_space_group_name_H-M 'P 1'
_symmetry_Int_Tables_number 1
_cell_length_a 3.893
_cell_length_b 7.507
_cell_length_c 6.346
_cell_angle_alpha 68.33
_cell_angle_beta 72.14
_cell_angle_gamma 74.97
loop_
_symmetry_equiv_pos_as_xyz
'x,y,z'
loop_
_atom_site_label
_atom_site_fract_x
_atom_site_fract_y
_atom_site_fract_z
_atom_site_occupancy
Pu1 0.436 0.298 0.829 1
Pu2 0.564 0.702 0.171 1
Pu3 0.810 0.712 0.667 1
Pu4 0.190 0.288 0.333 1
Ge1 0.891 0.017 0.200 1
Ge2 0.109 0.983 0.800 1
H1 0.225 0.577 0.973 1
H2 0.976 0.396 0.652 1
H3 0.592 0.374 0.443 1
H4 0.408 0.626 0.557 1
H5 0.024 0.604 0.348 1
H6 0.775 0.423 0.027 1
# magnetic moment	1.742	μB per atom
# E_tot	-7.56	eV per atom
# space-group type	C2/m



6.
# U2Ru6C (GGA-PBE, relaxed)
data_U2Ru6C
_symmetry_space_group_name_H-M 'P 1'
_symmetry_Int_Tables_number 1
_cell_length_a 5.675
_cell_length_b 7.362
_cell_length_c 7.251
_cell_angle_alpha 106.84
_cell_angle_beta 90.04
_cell_angle_gamma 89.97
loop_
_symmetry_equiv_pos_as_xyz
'x,y,z'
loop_
_atom_site_label
_atom_site_fract_x
_atom_site_fract_y
_atom_site_fract_z
_atom_site_occupancy
U1 0.000 0.355 0.700 1
U2 0.500 0.991 0.766 1
U3 0.500 0.009 0.234 1
U4 0.000 0.645 0.300 1
Ru1 0.000 0.013 0.243 1
Ru2 0.750 0.715 0.000 1
Ru3 0.743 0.681 0.621 1
Ru4 0.750 0.285 0.000 1
Ru5 0.743 0.319 0.379 1
Ru6 0.500 0.606 0.284 1
Ru7 0.000 0.987 0.757 1
Ru8 0.250 0.285 0.000 1
Ru9 0.257 0.319 0.379 1
Ru10 0.250 0.715 0.000 1
Ru11 0.257 0.681 0.621 1
Ru12 0.500 0.394 0.716 1
C1 0.500 0.500 0.000 1
C2 0.000 0.000 0.500 1
# magnetic moment	0.000	μB per atom
# calculated formation energy	0.069	eV per atom
# space-group type	P2/m



Number 1: N(E_F) 0.00 states/eV per cell. Number 2: N(E_F) 0.90 states/eV per cell. Number 3: N(E_F) 15.03 states/eV per cell. Number 4: N(E_F) 10.23 states/eV per cell. Number 5: N(E_F) 27.79 states/eV per cell. Number 6: N(E_F) 18.58 states/eV per cell.